Record 1
# PBEsol BaCa5, relaxed
# **Size of the total moment**: 0.000 μB per atom
# **DFT formation energy**: 0.030 eV/atom
# **Electronic total energy**: -2.11 eV/atom
# **ΔE to the lowest computed polymorph**: 0.013 eV per atom
data_BaCa5
_chemical_formula_sum 'Ba2 Ca10'
_symmetry_space_group_name_H-M 'C 1 m 1'
_symmetry_Int_Tables_number 8
_symmetry_space_group_name_Hall 'C -2y'
_cell_length_a 14.898
_cell_length_b 3.982
_cell_length_c 9.553
_cell_angle_alpha 90.00
_cell_angle_beta 105.55
_cell_angle_gamma 90.00
loop_
_atom_site_label
_atom_site_type_symbol
_atom_site_fract_x
_atom_site_fract_y
_atom_site_fract_z
_atom_site_occupancy
Ba1 Ba 0.000 0.000 0.000 1
Ca1 Ca 0.114 0.500 0.714 1
Ca2 Ca 0.170 0.500 0.341 1
Ca3 Ca 0.274 0.000 0.056 1
Ca4 Ca 0.329 0.000 0.657 1
Ca5 Ca 0.443 0.500 0.391 1



Record 2
# PBEsol Ba8Ca, relaxed
# **Size of the total moment**: 0.000 μB per atom
# **DFT formation energy**: 0.026 eV/atom
# **Electronic total energy**: -2.12 eV/atom
data_Ba8Ca
_chemical_formula_sum 'Ba16 Ca2'
_symmetry_space_group_name_H-M 'I 4/m m m'
_symmetry_Int_Tables_number 139
_symmetry_space_group_name_Hall '-I 4 2'
_cell_length_a 12.834
_cell_length_b 12.834
_cell_length_c 6.200
_cell_angle_alpha 90.00
_cell_angle_beta 90.00
_cell_angle_gamma 90.00
loop_
_atom_site_label
_atom_site_type_symbol
_atom_site_fract_x
_atom_site_fract_y
_atom_site_fract_z
_atom_site_occupancy
Ba1 Ba 0.000 0.329 0.000 1
Ba2 Ba 0.164 0.164 0.500 1
Ca1 Ca 0.000 0.000 0.000 1



Record 3
# PBEsol Ba2Ca, relaxed
# **Size of the total moment**: 0.000 μB per atom
# **DFT formation energy**: 0.036 eV/atom
# **Electronic total energy**: -2.11 eV/atom
# **ΔE to the lowest computed polymorph**: 0.010 eV per atom
data_Ba2Ca
_chemical_formula_sum 'Ba8 Ca4'
_symmetry_space_group_name_H-M 'P n m a'
_symmetry_Int_Tables_number 62
_symmetry_space_group_name_Hall '-P 2ac 2n'
_cell_length_a 8.243
_cell_length_b 6.176
_cell_length_c 12.368
_cell_angle_alpha 90.00
_cell_angle_beta 90.00
_cell_angle_gamma 90.00
loop_
_atom_site_label
_atom_site_type_symbol
_atom_site_fract_x
_atom_site_fract_y
_atom_site_fract_z
_atom_site_occupancy
Ba1 Ba 0.113 0.250 0.246 1
Ba2 Ba 0.137 0.250 0.583 1
Ca1 Ca 0.130 0.250 0.919 1